DFT (meta-GGA SCAN) results for a crystal of TaMnFe2 relaxed with PBEsol.

Unit cell a=2.6034 b=4.7746 c=4.7746 alpha=116.99 beta=99.89 gamma=99.89
Each line ends with the local moment (μB).
Fractional positions:
Fe  0.0000  0.5000  0.0000  2.18
Ta  0.5000  0.5000  0.5000  -0.63
Mn  0.5000  0.0000  0.0000  2.40
Fe  0.0000  0.0000  0.5000  2.18

Results
E: -30.19 eV/atom
Energy of formation from the pure elements: 7.8 kJ/mol of atoms
Calculated density: 11.555 g/cm3



DFT (meta-GGA SCAN) results for a crystal of Ta3MnFe relaxed with PBEsol.

Unit cell a=4.4926 b=4.4926 c=4.4926 alpha=90.00 beta=90.00 gamma=90.00
Each line ends with the local moment (μB).
Fractional positions:
Ta  0.0000  0.0000  0.5000  -0.07
Mn  0.0000  0.0000  0.0000  0.09
Fe  0.5000  0.5000  0.5000  3.32
Ta  0.5000  0.0000  0.0000  -0.07
Ta  0.0000  0.5000  0.0000  -0.07

Results
E: -46.19 eV/atom
Energy of formation from the pure elements: 100.1 kJ/mol of atoms
Calculated density: 11.970 g/cm3



DFT (meta-GGA SCAN) results for a crystal of TaMnFe2 relaxed with PBEsol.

Unit cell a=3.0642 b=4.0103 c=4.0103 alpha=90.00 beta=90.00 gamma=90.00
Each line ends with the local moment (μB).
Fractional positions:
Fe  0.0000  0.5000  0.0000  0.75
Mn  0.5000  0.5000  0.5000  3.17
Fe  0.0000  0.0000  0.5000  0.75
Ta  0.5000  0.0000  0.0000  -0.34

Results
E: -30.40 eV/atom
Energy of formation from the pure elements: -12.5 kJ/mol of atoms
Calculated density: 11.712 g/cm3



DFT (meta-GGA SCAN) results for a crystal of Ta2MnFe relaxed with PBEsol.

Unit cell a=3.0297 b=3.0297 c=6.0220 alpha=90.00 beta=90.00 gamma=90.00
Each line ends with the local moment (μB).
Fractional positions:
Mn  0.5000  0.5000  0.5000  -0.09
Fe  0.5000  0.5000  0.0000  1.33
Ta  0.0000  0.0000  0.7496  -0.12
Ta  0.0000  0.0000  0.2505  -0.12

Results
E: -42.61 eV/atom
Energy of formation from the pure elements: -21.3 kJ/mol of atoms
Calculated density: 14.199 g/cm3



DFT (meta-GGA SCAN) results for a crystal of TaMnFe2 relaxed with PBEsol.

Unit cell a=3.5333 b=3.5333 c=4.7554 alpha=111.81 beta=111.81 gamma=90.00
Each line ends with the local moment (μB).
Fractional positions:
Mn  0.5000  0.5000  0.0000  2.99
Ta  0.2500  0.7500  0.5000  -0.64
Fe  0.7500  0.2500  0.5000  2.06
Fe  0.0000  0.0000  0.0000  2.29

Results
E: -30.29 eV/atom
Energy of formation from the pure elements: -1.8 kJ/mol of atoms
Calculated density: 11.426 g/cm3



DFT (meta-GGA SCAN) results for a crystal of TaMnFe2 relaxed with PBEsol.

Unit cell a=2.9739 b=2.9739 c=5.6160 alpha=90.00 beta=90.00 gamma=90.01
Each line ends with the local moment (μB).
Fractional positions:
Ta  0.5000  0.5000  0.2502  -0.41
Mn  0.0000  0.0000  0.5166  0.89
Fe  0.5000  0.5000  0.7506  2.77
Fe  0.0000  0.0000  0.9825  1.98

Results
E: -30.32 eV/atom
Energy of formation from the pure elements: -4.0 kJ/mol of atoms
Calculated density: 11.621 g/cm3



DFT (meta-GGA SCAN) results for a crystal of TaMnFe2 relaxed with PBEsol.

Unit cell a=3.0547 b=4.0267 c=4.0089 alpha=90.00 beta=90.00 gamma=90.00
Each line ends with the local moment (μB).
Fractional positions:
Mn  0.5000  0.5000  0.0000  1.86
Ta  0.0000  0.5000  0.5000  -0.65
Fe  0.5000  0.0000  0.5000  1.89
Fe  0.0000  0.0000  0.0000  2.62

Results
E: -30.32 eV/atom
Energy of formation from the pure elements: -4.6 kJ/mol of atoms
Calculated density: 11.705 g/cm3



DFT (meta-GGA SCAN) results for a crystal of TaMnFe2 relaxed with PBEsol.

Unit cell a=2.5976 b=3.9904 c=4.9178 alpha=90.00 beta=102.64 gamma=90.00
Each line ends with the local moment (μB).
Fractional positions:
Ta  0.0000  0.5000  0.5000  -0.58
Mn  0.5000  0.5000  0.0000  2.19
Fe  0.7467  0.0000  0.7707  2.16
Fe  0.2533  0.0000  0.2293  2.16

Results
E: -30.20 eV/atom
Energy of formation from the pure elements: 7.3 kJ/mol of atoms
Calculated density: 11.603 g/cm3



Which value of energy of formation from the pure elements does entry 3 give?
-12.5 kJ/mol of atoms



What did the fourth record say?
DFT (meta-GGA SCAN) results for a crystal of Ta2MnFe relaxed with PBEsol.

Unit cell a=3.0297 b=3.0297 c=6.0220 alpha=90.00 beta=90.00 gamma=90.00
Each line ends with the local moment (μB).
Fractional positions:
Mn  0.5000  0.5000  0.5000  -0.09
Fe  0.5000  0.5000  0.0000  1.33
Ta  0.0000  0.0000  0.7496  -0.12
Ta  0.0000  0.0000  0.2505  -0.12

Results
E: -42.61 eV/atom
Energy of formation from the pure elements: -21.3 kJ/mol of atoms
Calculated density: 14.199 g/cm3



Number 3 is which compound?
TaMnFe2